Computed, not measured: an optimized crystal structure of PuMgSb3 at the PBE level of DFT.

Its space-group type is Pbcm.

Unit cell a=13.1482 b=6.1386 c=6.4518 alpha=90.00 beta=90.00 gamma=90.00
Closest atoms and distances in Å follow each position.
Atoms (fractional coordinates):
Pu  0.1831  0.0017  0.2500  9 Sb 3.13-3.31
Pu  0.1831  0.4983  0.7500  9 Sb 3.13-3.31
Pu  0.8169  0.5017  0.2500  9 Sb 3.13-3.31
Pu  0.8169  0.9983  0.7500  9 Sb 3.13-3.31
Mg  0.3930  0.7500  0.0000  6 Sb 3.00-3.12, 2 Mg 3.23
Mg  0.3930  0.7500  0.5000  6 Sb 3.00-3.12, 2 Mg 3.23
Mg  0.6070  0.2500  0.0000  6 Sb 3.00-3.12, 2 Mg 3.23
Mg  0.6070  0.2500  0.5000  6 Sb 3.00-3.12, 2 Mg 3.23
Sb  0.0023  0.7500  0.0000  4 Sb 3.07-3.23, 4 Pu 3.26-3.30
Sb  0.0023  0.7500  0.5000  4 Sb 3.07-3.23, 4 Pu 3.26-3.30
Sb  0.2397  0.0025  0.7500  2 Mg 3.01, 1 Sb 3.03, 4 Pu 3.13-3.31
Sb  0.2397  0.4975  0.2500  2 Mg 3.01, 1 Sb 3.03, 4 Pu 3.13-3.31
Sb  0.4167  0.1827  0.2500  4 Mg 3.00-3.12, 3 Sb 3.03-3.33, 1 Pu 3.27
Sb  0.4167  0.3173  0.7500  4 Mg 3.00-3.12, 3 Sb 3.03-3.33, 1 Pu 3.27
Sb  0.5833  0.6827  0.2500  4 Mg 3.00-3.12, 3 Sb 3.03-3.33, 1 Pu 3.27
Sb  0.5833  0.8173  0.7500  4 Mg 3.00-3.12, 3 Sb 3.03-3.33, 1 Pu 3.27
Sb  0.7603  0.5025  0.7500  2 Mg 3.01, 1 Sb 3.03, 4 Pu 3.13-3.31
Sb  0.7603  0.9975  0.2500  2 Mg 3.01, 1 Sb 3.03, 4 Pu 3.13-3.31
Sb  0.9977  0.2500  0.0000  4 Sb 3.07-3.23, 4 Pu 3.26-3.30
Sb  0.9977  0.2500  0.5000  4 Sb 3.07-3.23, 4 Pu 3.26-3.30

Computed, not measured: an optimized crystal structure of PuMgSnSb at the PBE level of DFT.

Its space-group type is Pmmm.

Unit cell a=4.3091 b=4.7037 c=4.8951 alpha=90.00 beta=90.00 gamma=90.00
Closest atoms and distances in Å follow each position.
Atoms (fractional coordinates):
Pu  0.0000  0.0000  0.0000  4 Sb 3.19, 4 Sn 3.26, 4 Mg 3.39
Mg  0.0000  0.5000  0.5000  4 Sn 3.19, 4 Sb 3.26, 4 Pu 3.39
Sn  0.5000  0.0000  0.5000  4 Mg 3.19, 4 Pu 3.26, 4 Sb 3.39
Sb  0.5000  0.5000  0.0000  4 Pu 3.19, 4 Mg 3.26, 4 Sn 3.39

Computed, not measured: an optimized crystal structure of Tm2PuMgSb4 at the PBE level of DFT.

Its space-group type is P2/m.

Unit cell a=7.4254 b=4.3519 c=7.6458 alpha=90.00 beta=109.39 gamma=90.00
Closest atoms and distances in Å follow each position.
Atoms (fractional coordinates):
Tm  0.0000  0.0000  0.0000  6 Sb 3.08-3.10
Tm  0.5000  0.5000  0.0000  6 Sb 3.06
Pu  0.0000  0.5000  0.5000  6 Sb 3.09-3.10
Mg  0.5000  0.0000  0.5000  6 Sb 3.06-3.07
Sb  0.2532  0.0000  0.7530  3 Tm 3.06-3.08, 1 Mg 3.07, 2 Pu 3.10
Sb  0.2546  0.5000  0.2518  3 Tm 3.06-3.10, 2 Mg 3.06, 1 Pu 3.09
Sb  0.7454  0.5000  0.7482  3 Tm 3.06-3.10, 2 Mg 3.06, 1 Pu 3.09
Sb  0.7468  0.0000  0.2470  3 Tm 3.06-3.08, 1 Mg 3.07, 2 Pu 3.10

| no. | DFT total energy (eV per atom) |
| --- | --- |
| 1 | -6.046 |
| 2 | -6.422 |
| 3 | -5.845 |